<A>
An optimized crystal structure of MgTiSbI2, computed with GGA-PBE.

```
MgTiSbI2
1.0
5.495 0.000 0.000
0.000 5.495 0.000
0.000 0.000 5.640
I Sb Ti Mg
2 1 1 1
direct
0.000 0.500 0.000
0.500 0.000 0.000
0.000 0.000 0.500
0.500 0.500 0.500
0.000 0.000 0.000
```

Summary:
SG ... P4/mmm (123)
Size of the total moment ... 0.02 μB per atom
Theoretical density ... 4.4 g/cm³



<B>
An optimized crystal structure of MgTiSbI2, computed with GGA-PBE.

```
MgTiSbI2
1.0
-3.310 -3.963 1.685
1.331 -2.963 -4.353
4.231 -2.314 2.869
I Ti Sb Mg
2 1 1 1
direct
0.500 0.000 0.000
0.000 0.500 0.000
0.000 0.000 0.000
0.000 0.000 0.500
0.500 0.500 0.500
```

Summary:
SG ... P4/mmm (123)
Size of the total moment ... 0.00 μB per atom
Theoretical density ... 4.5 g/cm³



Energy comparison, zero being the most stable, in meV/atom: <A> 540; <B> 0.